Record 1
! Pr2SmZn2Pb2, optimized geometry, DFT PBE; values from VASP
&SYSTEM
  ibrav = 0, nat = 7, ntyp = 4
/
ATOMIC_SPECIES
Pr 140.91 Pr.upf
Sm 150.36 Sm.upf
Zn 65.41 Zn.upf
Pb 207.20 Pb.upf
CELL_PARAMETERS angstrom
2.3988 1.3850 9.7174
-2.3988 1.3850 9.7174
0.0000 -2.7700 9.7174
ATOMIC_POSITIONS angstrom
Pr 0.0000 0.0000 3.8259
Pr 0.0000 0.0000 25.3264
Sm 0.0000 0.0000 0.0000
Zn 0.0000 0.0000 12.2963
Zn 0.0000 0.0000 16.8560
Pb 0.0000 0.0000 7.9295
Pb 0.0000 0.0000 21.2228
! Magnetic moment: 0.0 Bohr magnetons per cell
! Mass density: 8.4 g cm⁻³
! E_form: -1.612 eV per formula unit

Record 2
! EuHfP2, optimized geometry, DFT PBE; values from VASP
&SYSTEM
  ibrav = 0, nat = 4, ntyp = 3
/
ATOMIC_SPECIES
Eu 151.96 Eu.upf
Hf 178.49 Hf.upf
P 30.97 P.upf
CELL_PARAMETERS angstrom
1.9317 1.1153 6.6000
-1.9317 1.1153 6.6000
0.0000 -2.2306 6.6000
ATOMIC_POSITIONS angstrom
Eu 0.0000 0.0000 0.0000
Hf 0.0000 0.0000 9.9000
P 0.0000 0.0000 4.7538
P 0.0000 0.0000 15.0462
! Magnetic moment: 6.8 Bohr magnetons per cell
! Mass density: 7.6 g cm⁻³
! E_form: -5.269 eV per formula unit

Record 3
! KMnBSe4, optimized geometry, DFT PBE; values from VASP
&SYSTEM
  ibrav = 0, nat = 14, ntyp = 4
/
ATOMIC_SPECIES
K 39.10 K.upf
Mn 54.94 Mn.upf
B 10.81 B.upf
Se 78.96 Se.upf
CELL_PARAMETERS angstrom
6.2064 0.0000 0.0000
0.0000 6.5950 0.0000
-0.8493 0.0000 8.3198
ATOMIC_POSITIONS angstrom
K 1.4205 1.6488 0.5721
K 3.9366 4.9463 7.7478
Mn 0.7024 4.9463 3.6995
Mn 4.6547 1.6488 4.6204
B 1.5521 1.6488 5.4777
B 3.8050 4.9463 2.8422
Se 0.1846 0.0835 5.6856
Se 0.1846 3.2140 5.6856
Se 2.1562 4.9463 1.6114
Se 2.4363 1.6488 3.6583
Se 2.9208 4.9463 4.6616
Se 3.2009 1.6488 6.7085
Se 5.1724 3.3810 2.6342
Se 5.1724 6.5115 2.6342
! Formation energy (no corrections): -0.44 eV/atom
! Magnetic moment: 6.4 Bohr magnetons per cell
! Mass density: 4.1 g cm⁻³

Record 4
! MnCr2Ag, optimized geometry, DFT PBE; values from VASP
&SYSTEM
  ibrav = 0, nat = 4, ntyp = 3
/
ATOMIC_SPECIES
Mn 54.94 Mn.upf
Cr 52.00 Cr.upf
Ag 107.87 Ag.upf
CELL_PARAMETERS angstrom
0.0000 3.0986 3.0986
3.0986 0.0000 3.0986
3.0986 3.0986 0.0000
ATOMIC_POSITIONS angstrom
Mn 0.0000 0.0000 0.0000
Cr 3.0986 3.0986 3.0986
Cr 4.6480 4.6480 4.6480
Ag 1.5493 1.5493 1.5493
! Magnetic moment: 3.9 Bohr magnetons per cell
! Energy above the most stable polymorph in this dataset: 0.120 eV per atom
! Mass density: 7.4 g cm⁻³
! E_form: 1.667 eV per formula unit

Record 5
! CeLuThCd, optimized geometry, DFT PBE; values from VASP
&SYSTEM
  ibrav = 0, nat = 4, ntyp = 4
/
ATOMIC_SPECIES
Ce 140.12 Ce.upf
Lu 174.97 Lu.upf
Th 232.04 Th.upf
Cd 112.41 Cd.upf
CELL_PARAMETERS angstrom
0.0000 3.8314 3.8314
3.8314 0.0000 3.8314
3.8314 3.8314 0.0000
ATOMIC_POSITIONS angstrom
Ce 0.0000 0.0000 0.0000
Lu 3.8314 3.8314 3.8314
Th 5.7472 5.7472 5.7472
Cd 1.9157 1.9157 1.9157
! Magnetic moment: 0.0 Bohr magnetons per cell
! Mass density: 9.7 g cm⁻³
! E_form: 0.418 eV per formula unit

Record 6
! In2AgPt, optimized geometry, DFT PBE; values from VASP
&SYSTEM
  ibrav = 0, nat = 4, ntyp = 3
/
ATOMIC_SPECIES
In 114.82 In.upf
Ag 107.87 Ag.upf
Pt 195.08 Pt.upf
CELL_PARAMETERS angstrom
1.5852 0.9152 9.3820
-1.5852 0.9152 9.3820
0.0000 -1.8304 9.3820
ATOMIC_POSITIONS angstrom
In 0.0000 0.0000 0.0000
In 0.0000 0.0000 6.6878
Ag 0.0000 0.0000 13.6844
Pt 0.0000 0.0000 20.8600
! Magnetic moment: 0.0 Bohr magnetons per cell
! Energy above the most stable polymorph in this dataset: 0.205 eV per atom
! Mass density: 10.8 g cm⁻³
! E_form: -0.007 eV per formula unit

Record 7
! CrP2WS, optimized geometry, DFT PBE; values from VASP
&SYSTEM
  ibrav = 0, nat = 5, ntyp = 4
/
ATOMIC_SPECIES
Cr 52.00 Cr.upf
P 30.97 P.upf
W 183.84 W.upf
S 32.06 S.upf
CELL_PARAMETERS angstrom
4.7485 0.0000 0.0000
0.0000 4.7485 0.0000
0.0000 0.0000 4.5272
ATOMIC_POSITIONS angstrom
Cr 0.0000 0.0000 0.0000
P 0.0000 2.3742 2.2636
P 2.3742 0.0000 2.2636
W 2.3742 2.3742 2.2636
S 2.3742 2.3742 0.0000
! Formation energy (no corrections): 1.09 eV/atom
! Magnetic moment: 0.2 Bohr magnetons per cell
! Energy above the most stable polymorph in this dataset: 0.077 eV per atom
! Mass density: 5.4 g cm⁻³

Record 8
! LiPm2Eu, optimized geometry, DFT PBE; values from VASP
&SYSTEM
  ibrav = 0, nat = 4, ntyp = 3
/
ATOMIC_SPECIES
Li 6.94 Li.upf
Pm 145.00 Pm.upf
Eu 151.96 Eu.upf
CELL_PARAMETERS angstrom
0.0000 4.0132 4.0132
4.0132 0.0000 4.0132
4.0132 4.0132 0.0000
ATOMIC_POSITIONS angstrom
Li 0.0000 0.0000 0.0000
Pm 2.0066 2.0066 2.0066
Pm 6.0199 6.0199 6.0199
Eu 4.0132 4.0132 4.0132
! Magnetic moment: 7.4 Bohr magnetons per cell
! Energy above the most stable polymorph in this dataset: 0.089 eV per atom
! Mass density: 5.8 g cm⁻³
! E_form: 0.827 eV per formula unit